Material: Cs12BaAu7
Method: DFT, PBE
State: optimized geometry

It has space group R-3 (No. 148, hexagonal axes), with a = 23.2279 Å, b = 23.2279 Å, c = 7.4299 Å, α = 90.00°, β = 90.00° and γ = 120.00°. The asymmetric unit holds Cs at (0.0422, 0.4511, 0.1835), Cs at (0.0421, 0.8752, 0.8492), Ba at (0.0000, 0.0000, 0.5000), Au at (0.0000, 0.0000, 0.0000) and Au at (0.0429, 0.8847, 0.3535).

The total energy is -1.999 eV per atom. The formation enthalpy at 0 K comes out at -0.24 eV per atom.